Here is FeSiIrAu after structural relaxation from the Open Quantum Materials Database. Energies are from GGA-PBE.

Computed properties:
Total magnetic moment (μB/cell): 2.456
Electronic total energy (eV for the cell shown): -25.4

```
FeSiIrAu
1.0
0.000 3.060 3.060
3.060 0.000 3.060
3.060 3.060 0.000
Au Si Ir Fe
1 1 1 1
direct
0.500 0.500 0.500 Au
0.000 0.000 0.000 Si
0.250 0.250 0.250 Ir
0.750 0.750 0.750 Fe
```